(1)
# BaTcHgP, optimized geometry, DFT PBE
# Density: 7.393 Mg/m³
# Total energy: -5.104 eV/atom
data_BaTcHgP
_symmetry_space_group_name_H-M 'P 4/n m m'
_symmetry_Int_Tables_number 129
_cell_length_a 4.223
_cell_length_b 4.223
_cell_length_c 11.761
_cell_angle_alpha 90.00
_cell_angle_beta 90.00
_cell_angle_gamma 90.00
loop_
_symmetry_equiv_pos_as_xyz
'x,y,z'
'-x,-y,-z'
'-y+1/2,x,z'
'y+1/2,-x,-z'
'-x+1/2,-y+1/2,z'
'x+1/2,y+1/2,-z'
'y,-x+1/2,z'
'-y,x+1/2,-z'
'x+1/2,-y,-z'
'-x+1/2,y,z'
'-y,-x,-z'
'y,x,z'
'-x,y+1/2,-z'
'x,-y+1/2,z'
'y+1/2,x+1/2,-z'
'-y+1/2,-x+1/2,z'
loop_
_atom_site_label
_atom_site_fract_x
_atom_site_fract_y
_atom_site_fract_z
_atom_site_occupancy
Ba1 0.250 0.250 0.237 1
Tc1 0.250 0.750 0.000 1
Hg1 0.250 0.750 0.500 1
P1 0.250 0.250 0.907 1

***

(2)
# ZrReRu2, optimized geometry, DFT PBE
# Density: 12.366 Mg/m³
# Total energy: -9.819 eV/atom
# Distance to the lowest polymorph of the same formula: 14.33 kJ/mol of atoms
data_ZrReRu2
_symmetry_space_group_name_H-M 'F m -3 m'
_symmetry_Int_Tables_number 225
_symmetry_space_group_name_Hall '-F 4 2 3'
_cell_length_a 6.363
_cell_length_b 6.363
_cell_length_c 6.363
_cell_angle_alpha 90.00
_cell_angle_beta 90.00
_cell_angle_gamma 90.00
loop_
_atom_site_label
_atom_site_fract_x
_atom_site_fract_y
_atom_site_fract_z
_atom_site_occupancy
Zr1 0.000 0.000 0.000 1
Re1 0.000 0.000 0.500 1
Ru1 0.250 0.250 0.250 1

***

no.,energy relative to the elements (eV per atom)
1,-0.604
2,0.068